# Na2TmScO4

A geometry-optimized Na2TmScO4 structure (GGA-PBE, the Alexandria database).

Calculated values
- Electronic total energy: -56.0 eV per cell
- V: 103 Å³/cell
- Raw formation energy: -2846 meV per atom
- Fermi-level density of states: 0.0 states/eV/f.u.
- Total magnetization: 0.00 Bohr magnetons per cell
- Symmetry: P2/m

CIF file:
```
data_Na2TmScO4
_space_group_name_H-M_alt 'P 1'
_space_group_IT_number 1
_space_group_name_Hall 'P 1'
_cell_length_a 3.279
_cell_length_b 5.672
_cell_length_c 5.837
_cell_angle_alpha 108.90
_cell_angle_beta 90.00
_cell_angle_gamma 90.00
loop_
_atom_site_label
_atom_site_type_symbol
_atom_site_fract_x
_atom_site_fract_y
_atom_site_fract_z
_atom_site_occupancy
Na1 Na 0.000 0.500 0.500 1
Na2 Na 0.500 0.000 0.500 1
O1 O 0.500 0.774 0.795 1
O2 O 0.000 0.746 0.207 1
O3 O 0.500 0.226 0.205 1
O4 O 0.000 0.254 0.793 1
Tm1 Tm 0.500 0.500 0.000 1
Sc1 Sc 0.000 0.000 0.000 1
```